Here is a geometry-optimized AsIrNO structure from OQMD. Energies are from GGA-PBE.

Cell and atoms, written as POSCAR:
```
AsIrNO
1.0
0.463 1.026 2.783
-5.894 0.627 0.749
-0.321 -5.506 2.082
Ir As O N
2 2 2 2
Direct
0.000 0.010 0.580
0.000 0.510 0.420
0.500 0.009 0.202
0.500 0.509 0.798
0.500 0.923 0.786
0.500 0.423 0.214
0.000 0.311 0.719
0.000 0.811 0.281
```

final energy: -6.423 eV per atom
SG: No. 26
crystal system: orthorhombic

---

Here is a geometry-optimized AsIrNO structure from OQMD. Energies are from GGA-PBE.

Cell and atoms, written as POSCAR:
```
AsIrNO
1.0
-2.394 -2.696 -2.197
-0.137 -2.591 3.330
-4.225 2.382 1.680
As N O Ir
2 2 2 2
Direct
0.750 0.250 0.500
0.250 0.750 0.500
0.250 0.250 0.340
0.750 0.750 0.660
0.750 0.250 0.000
0.250 0.750 0.000
0.750 0.750 0.067
0.250 0.250 0.933
```

final energy: -5.915 eV per atom
SG: No. 129
crystal system: tetragonal